Model 1:
First-principles (PBE+U) data for a relaxed VBN2F crystal, as listed in Alexandria.

Output
The calculation puts the magnetization at 1.964 μB per formula unit.

Cell lengths 3.403, 3.403, 3.470 Å; angles 90.00, 90.00, 90.00 degrees
Element x y z (fractional)
V1 0.000 0.000 0.000
B1 0.500 0.500 0.500
N1 0.000 0.500 0.500
N2 0.500 0.000 0.500
F1 0.500 0.500 0.000

***

Model 2:
First-principles (PBE+U) data for a relaxed VBN2F crystal, as listed in Alexandria.

Output
The calculation puts the magnetization at 0.480 μB per formula unit.

Cell lengths 3.811, 3.811, 3.929 Å; angles 90.00, 90.00, 90.00 degrees
Element x y z (fractional)
V1 0.000 0.000 0.000
B1 0.500 0.500 0.500
N1 0.000 0.500 0.000
N2 0.500 0.000 0.000
F1 0.000 0.000 0.500

***

What are the relative energies? In meV per atom: model 1 0; model 2 658.